1.
Material: La3VN
Method: DFT, PBE-GGA
State: optimized geometry

extended XYZ file:
```
5
Lattice="5.094 0.000 0.000 0.000 5.094 0.000 0.000 0.000 5.094" Properties=species:S:1:pos:R:3 pbc="T T T"
La 0.000 0.000 2.547
La 0.000 2.547 0.000
La 2.547 0.000 0.000
V 2.547 2.547 2.547
N 0.000 0.000 0.000
```

Summary:
DOS(E_F) ... 6.03 states/eV/f.u.
M_tot ... 2.86 Bohr magnetons per cell
Formation energy from raw total energies ... -1.3 eV/f.u.

2.
Material: La3V2N6
Method: DFT, PBE-GGA
State: optimized geometry

extended XYZ file:
```
11
Lattice="-1.956 1.956 10.012 1.956 -1.956 10.012 1.956 1.956 -10.012" Properties=species:S:1:pos:R:3 pbc="T T T"
La 0.000 0.000 0.000
La 0.000 0.000 3.556
La 0.000 0.000 16.469
V 0.000 0.000 7.942
V 0.000 0.000 12.082
N 1.956 0.000 1.735
N 0.000 0.000 6.138
N 1.956 0.000 8.277
N 0.000 1.956 1.735
N 0.000 0.000 13.887
N 0.000 1.956 8.277
```

Summary:
DOS(E_F) ... 2.55 states/eV/f.u.
M_tot ... 0.00 Bohr magnetons per cell
Formation energy from raw total energies ... -14.5 eV/f.u.

3.
Material: La2VN4
Method: DFT, PBE-GGA
State: optimized geometry

extended XYZ file:
```
14
Lattice="3.887 0.000 0.000 0.000 3.887 0.000 0.000 0.000 12.676" Properties=species:S:1:pos:R:3 pbc="T T T"
La 0.000 0.000 1.809
La 0.000 0.000 10.868
La 1.944 1.944 4.530
La 1.944 1.944 8.147
V 0.000 0.000 6.338
V 1.944 1.944 0.000
N 0.000 0.000 4.285
N 0.000 0.000 8.392
N 0.000 1.944 0.000
N 0.000 1.944 6.338
N 1.944 0.000 0.000
N 1.944 0.000 6.338
N 1.944 1.944 2.053
N 1.944 1.944 10.623
```

Summary:
DOS(E_F) ... 6.88 states/eV/f.u.
M_tot ... 0.45 Bohr magnetons per cell
Formation energy from raw total energies ... -7.5 eV/f.u.

Mass density, record by record: 6.1; 6.5; 6.7 g/cm³